Density functional theory data (PBE-GGA) for a geometry-optimized HoAgSe2 structure.

Crystal system: trigonal
Size of the total moment in μB per formula unit: 0.0
ΔE_f (raw) in eV/atom: -1.071

a = 4.0059 Å, b = 4.0059 Å, c = 7.3338 Å
α = 74.15°, β = 74.15°, γ = 60.00°
With the nearest neighbours (Å) after each atom.
Fractional positions:
Ho 0.5004 0.5004 0.4987  6 Se 2.89-2.90
Ag 0.6665 0.6665 0.0005  6 Se 2.90
Se 0.0833 0.0833 0.7501  3 Ag 2.90, 3 Ho 2.90
Se 0.2498 0.2498 0.2507  3 Ho 2.89, 3 Ag 2.90

=====

Density functional theory data (PBE-GGA) for a geometry-optimized Ho2AgSe structure.

Crystal system: trigonal
Relative energy among the computed polymorphs in eV per atom: 0.5823
Size of the total moment in μB per formula unit: 0.0
ΔE_f (raw) in eV/atom: -0.440

a = 3.6857 Å, b = 3.6857 Å, c = 9.7940 Å
α = 79.15°, β = 79.15°, γ = 60.00°
With the nearest neighbours (Å) after each atom.
Fractional positions:
Se 0.5000 0.5000 0.5000  6 Ho 2.81
Ho 0.1028 0.1028 0.6917  3 Se 2.81, 1 Ag 2.95
Ho 0.8972 0.8972 0.3083  3 Se 2.81, 1 Ag 2.95
Ag 0.0000 0.0000 0.0000  2 Ho 2.95

=====

Number 2 is which compound?
Ho2AgSe

=====

Copy entry 2 word for word.
Density functional theory data (PBE-GGA) for a geometry-optimized Ho2AgSe structure.

Crystal system: trigonal
Relative energy among the computed polymorphs in eV per atom: 0.5823
Size of the total moment in μB per formula unit: 0.0
ΔE_f (raw) in eV/atom: -0.440

a = 3.6857 Å, b = 3.6857 Å, c = 9.7940 Å
α = 79.15°, β = 79.15°, γ = 60.00°
With the nearest neighbours (Å) after each atom.
Fractional positions:
Se 0.5000 0.5000 0.5000  6 Ho 2.81
Ho 0.1028 0.1028 0.6917  3 Se 2.81, 1 Ag 2.95
Ho 0.8972 0.8972 0.3083  3 Se 2.81, 1 Ag 2.95
Ag 0.0000 0.0000 0.0000  2 Ho 2.95

=====

Number 1 is which compound?
HoAgSe2

=====

size of the total moment of number 1 (HoAgSe2)?
0.0 μB per formula unit